Record 1
Material: ErAsPb
Method: DFT, PBE-GGA
State: relaxed

Values from the calculation:
Total moment   0.0 μB per cell
Total DFT energy (no corrections)   -4.23 eV per atom

Structure (POSCAR):
```
ErAsPb
1.0
0.000 3.555 3.555
3.555 0.000 3.555
3.555 3.555 0.000
Er As Pb
1 1 1
Direct
0.000 0.000 0.000 Er
0.500 0.500 0.500 As
0.750 0.750 0.750 Pb
```

---

Record 2
Material: RbNaCo
Method: DFT, PBE-GGA
State: relaxed

Values from the calculation:
Total moment   1.7 μB per cell
Total DFT energy (no corrections)   -1.81 eV per atom

Structure (POSCAR):
```
RbNaCo
1.0
0.000 4.005 4.005
4.005 0.000 4.005
4.005 4.005 0.000
Rb Na Co
1 1 1
Direct
0.000 0.000 0.000 Rb
0.250 0.250 0.250 Na
0.750 0.750 0.750 Co
```

---

Record 3
Material: PrAgTe
Method: DFT, PBE-GGA
State: relaxed

Values from the calculation:
Total moment   0.0 μB per cell
Total DFT energy (no corrections)   -4.19 eV per atom

Structure (POSCAR):
```
PrAgTe
1.0
0.000 3.674 3.674
3.674 0.000 3.674
3.674 3.674 0.000
Pr Ag Te
1 1 1
Direct
0.000 0.000 0.000 Pr
0.750 0.750 0.750 Ag
0.250 0.250 0.250 Te
```

---

Record 4
Material: KPaO3
Method: DFT, PBE-GGA
State: relaxed

Values from the calculation:
Total moment   0.0 μB per cell
Total DFT energy (no corrections)   -7.72 eV per atom

Structure (POSCAR):
```
KPaO3
1.0
3.054 1.763 5.795
-3.054 1.763 5.795
0.000 -3.526 5.795
K Pa O
2 2 6
Direct
0.135 0.135 0.135 K
0.865 0.865 0.865 K
0.342 0.342 0.342 Pa
0.658 0.658 0.658 Pa
0.051 0.682 0.467 O
0.318 0.533 0.949 O
0.467 0.051 0.682 O
0.533 0.949 0.318 O
0.682 0.467 0.051 O
0.949 0.318 0.533 O
```

---

Record 5
Material: Er2TmGa3Ge2Pd
Method: DFT, PBE-GGA
State: relaxed

Values from the calculation:
Total moment   0.0 μB per cell
Total DFT energy (no corrections)   -4.89 eV per atom

Structure (POSCAR):
```
Er2TmGa3Ge2Pd
1.0
4.205 0.000 0.000
0.000 6.027 3.486
0.000 -6.027 3.486
Er Tm Ga Ge Pd
2 1 3 2 1
Direct
0.000 0.205 0.795 Er
0.000 0.795 0.205 Er
0.000 0.616 0.616 Tm
0.500 0.206 0.445 Ga
0.500 0.445 0.206 Ga
0.500 0.967 0.967 Ga
0.500 0.539 0.871 Ge
0.500 0.871 0.539 Ge
0.000 0.207 0.207 Pd
```

---

Record 6
Material: ScFeAs2
Method: DFT, PBE-GGA
State: relaxed

Values from the calculation:
Total moment   1.2 μB per cell
Total DFT energy (no corrections)   -6.04 eV per atom

Structure (POSCAR):
```
ScFeAs2
1.0
0.000 3.215 3.215
3.215 0.000 3.215
3.215 3.215 0.000
Sc Fe As
1 1 2
Direct
0.000 0.000 0.000 Sc
0.250 0.250 0.250 Fe
0.500 0.500 0.500 As
0.750 0.750 0.750 As
```

---

Record 7
Material: Y2ErMg3Al2Hg
Method: DFT, PBE-GGA
State: relaxed

Values from the calculation:
Total moment   0.0 μB per cell
Total DFT energy (no corrections)   -3.70 eV per atom

Structure (POSCAR):
```
Y2ErMg3Al2Hg
1.0
4.504 0.000 0.000
0.000 6.391 3.710
0.000 -6.391 3.710
Y Er Mg Al Hg
2 1 3 2 1
Direct
0.000 0.213 0.787 Y
0.000 0.787 0.213 Y
0.000 0.639 0.639 Er
0.500 0.213 0.458 Mg
0.500 0.458 0.213 Mg
0.500 0.969 0.969 Mg
0.500 0.547 0.879 Al
0.500 0.879 0.547 Al
0.000 0.216 0.216 Hg
```

---

Record 8
Material: HfZnGa
Method: DFT, PBE-GGA
State: relaxed

Values from the calculation:
Total moment   0.0 μB per cell
Total DFT energy (no corrections)   -4.53 eV per atom

Structure (POSCAR):
```
HfZnGa
1.0
0.000 3.163 3.163
3.163 0.000 3.163
3.163 3.163 0.000
Hf Zn Ga
1 1 1
Direct
0.000 0.000 0.000 Hf
0.250 0.250 0.250 Zn
0.750 0.750 0.750 Ga
```

---

Record 9
Material: AlCuS2
Method: DFT, PBE-GGA
State: relaxed

Values from the calculation:
Total DFT energy (no corrections)   -4.75 eV per atom

Structure (POSCAR):
```
AlCuS2
1.0
-2.663 2.663 5.252
2.663 -2.663 5.252
2.663 2.663 -5.252
Al Cu S
2 2 4
Direct
0.000 0.000 0.000 Al
0.750 0.250 0.500 Al
0.250 0.750 0.500 Cu
0.500 0.500 0.000 Cu
0.118 0.624 0.993 S
0.376 0.369 0.494 S
0.631 0.125 0.007 S
0.875 0.882 0.506 S
```

---

Record 10
Material: ZrZnCoOs
Method: DFT, PBE-GGA
State: relaxed

Values from the calculation:
Total moment   2.3 μB per cell
E_form   0.115 eV/atom

Structure (POSCAR):
```
ZrZnCoOs
1.0
0.000 3.150 3.150
3.150 0.000 3.150
3.150 3.150 0.000
Zr Zn Co Os
1 1 1 1
Direct
0.000 0.000 0.000 Zr
0.250 0.250 0.250 Zn
0.500 0.500 0.500 Co
0.750 0.750 0.750 Os
```

---

Record 11
Material: MgTlTcW
Method: DFT, PBE-GGA
State: relaxed

Values from the calculation:
Total moment   0.0 μB per cell
Total DFT energy (no corrections)   -6.31 eV per atom

Structure (POSCAR):
```
MgTlTcW
1.0
0.000 3.247 3.247
3.247 0.000 3.247
3.247 3.247 0.000
Mg Tl Tc W
1 1 1 1
Direct
0.000 0.000 0.000 Mg
0.250 0.250 0.250 Tl
0.500 0.500 0.500 Tc
0.750 0.750 0.750 W
```

---

Record 12
Material: TbTlHgSe3
Method: DFT, PBE-GGA
State: relaxed

Values from the calculation:
Total moment   0.0 μB per cell
Total DFT energy (no corrections)   -3.90 eV per atom

Structure (POSCAR):
```
TbTlHgSe3
1.0
2.096 -7.322 0.000
2.096 7.322 0.000
0.000 0.000 10.988
Tb Tl Hg Se
2 2 2 6
Direct
0.000 0.000 0.000 Tb
0.000 0.000 0.500 Tb
0.249 0.751 0.750 Tl
0.751 0.249 0.250 Tl
0.455 0.545 0.250 Hg
0.545 0.455 0.750 Hg
0.076 0.924 0.250 Se
0.365 0.635 0.043 Se
0.365 0.635 0.457 Se
0.635 0.365 0.543 Se
0.635 0.365 0.957 Se
0.924 0.076 0.750 Se
```

---

Record 13
Material: LiYSiNi
Method: DFT, PBE-GGA
State: relaxed

Values from the calculation:
Total moment   0.1 μB per cell
Total DFT energy (no corrections)   -5.10 eV per atom

Structure (POSCAR):
```
LiYSiNi
1.0
0.000 3.234 3.234
3.234 0.000 3.234
3.234 3.234 0.000
Li Y Si Ni
1 1 1 1
Direct
0.000 0.000 0.000 Li
0.500 0.500 0.500 Y
0.250 0.250 0.250 Si
0.750 0.750 0.750 Ni
```

---

Record 14
Material: Cs2RbP2Pt3
Method: DFT, PBE-GGA
State: relaxed

Values from the calculation:
Total moment   0.3 μB per cell
Total DFT energy (no corrections)   -4.38 eV per atom

Structure (POSCAR):
```
Cs2RbP2Pt3
1.0
2.962 1.710 7.397
-2.962 1.710 7.397
0.000 -3.421 7.397
Cs Rb P Pt
2 1 2 3
Direct
0.090 0.090 0.090 Cs
0.910 0.910 0.910 Cs
0.500 0.500 0.500 Rb
0.261 0.261 0.261 P
0.739 0.739 0.739 P
0.000 0.500 0.500 Pt
0.500 0.000 0.500 Pt
0.500 0.500 0.000 Pt
```

---

Record 15
Material: Hg2BOs
Method: DFT, PBE-GGA
State: relaxed

Values from the calculation:
Total moment   0.0 μB per cell
Total DFT energy (no corrections)   -3.05 eV per atom

Structure (POSCAR):
```
Hg2BOs
1.0
0.000 3.197 3.197
3.197 0.000 3.197
3.197 3.197 0.000
Hg B Os
2 1 1
Direct
0.000 0.000 0.000 Hg
0.250 0.250 0.250 Hg
0.500 0.500 0.500 B
0.750 0.750 0.750 Os
```

---

Record 16
Material: Tm3Se2N
Method: DFT, PBE-GGA
State: relaxed

Values from the calculation:
Total moment   0.0 μB per cell
Total DFT energy (no corrections)   -6.44 eV per atom

Structure (POSCAR):
```
Tm3Se2N
1.0
3.691 0.000 0.000
-1.846 3.197 0.000
0.000 0.000 9.925
Tm Se N
3 2 1
Direct
0.000 0.000 0.000 Tm
0.333 0.667 0.375 Tm
0.667 0.333 0.625 Tm
0.333 0.667 0.816 Se
0.667 0.333 0.184 Se
0.000 0.000 0.500 N
```

---

Record 17
Material: HfFeAgSb
Method: DFT, PBE-GGA
State: relaxed

Values from the calculation:
Total moment   0.0 μB per cell
Total DFT energy (no corrections)   -6.19 eV per atom

Structure (POSCAR):
```
HfFeAgSb
1.0
0.000 3.264 3.264
3.264 0.000 3.264
3.264 3.264 0.000
Hf Fe Ag Sb
1 1 1 1
Direct
0.000 0.000 0.000 Hf
0.750 0.750 0.750 Fe
0.250 0.250 0.250 Ag
0.500 0.500 0.500 Sb
```

---

Record 18
Material: Zr4CdC2S
Method: DFT, PBE-GGA
State: relaxed

Values from the calculation:
Total moment   0.0 μB per cell
Total DFT energy (no corrections)   -8.15 eV per atom

Structure (POSCAR):
```
Zr4CdC2S
1.0
3.387 0.000 0.000
-1.693 2.933 0.000
0.000 0.000 13.765
Zr Cd C S
4 1 2 1
Direct
0.000 0.000 0.133 Zr
0.000 0.000 0.867 Zr
0.333 0.667 0.315 Zr
0.333 0.667 0.685 Zr
0.000 0.000 0.500 Cd
0.667 0.333 0.226 C
0.667 0.333 0.774 C
0.333 0.667 0.000 S
```

---

Record 19
Material: YEr2Fe6Ni3
Method: DFT, PBE-GGA
State: relaxed

Values from the calculation:
Total moment   13.4 μB per cell
E_form   -0.172 eV/atom

Structure (POSCAR):
```
YEr2Fe6Ni3
1.0
2.488 1.436 8.230
-2.488 1.436 8.230
0.000 -2.873 8.230
Y Er Fe Ni
1 2 6 3
Direct
0.000 0.000 0.000 Y
0.142 0.142 0.142 Er
0.858 0.858 0.858 Er
0.080 0.583 0.583 Fe
0.417 0.417 0.920 Fe
0.417 0.920 0.417 Fe
0.583 0.080 0.583 Fe
0.583 0.583 0.080 Fe
0.920 0.417 0.417 Fe
0.333 0.333 0.333 Ni
0.500 0.500 0.500 Ni
0.667 0.667 0.667 Ni
```

---

Record 20
Material: Al2SnAu2
Method: DFT, PBE-GGA
State: relaxed

Values from the calculation:
Total DFT energy (no corrections)   -3.86 eV per atom

Structure (POSCAR):
```
Al2SnAu2
1.0
-2.041 2.041 5.971
2.041 -2.041 5.971
2.041 2.041 -5.971
Al Sn Au
2 1 2
Direct
0.250 0.750 0.500 Al
0.750 0.250 0.500 Al
0.000 0.000 0.000 Sn
0.383 0.383 0.000 Au
0.617 0.617 0.000 Au
```